Record 1
Entry from Alexandria: Tm8TcBi2 after structural relaxation (PBE-GGA).

Properties
Crystal system: monoclinic
ΔE_f (meV per atom): -246

a = 5.447 Å, b = 6.880 Å, c = 10.150 Å
α = 120.15°, β = 105.57°, γ = 90.00°
Element x y z (fractional)
Tm 0.402 0.547 0.804
Tm 0.642 0.014 0.284
Tm 0.808 0.656 0.615
Tm 0.991 0.214 0.982
Tm 0.192 0.344 0.385
Tm 0.358 0.986 0.716
Tm 0.598 0.453 0.196
Tm 0.009 0.786 0.018
Tc 0.500 0.000 0.000
Bi 0.835 0.238 0.670
Bi 0.165 0.762 0.330

Record 2
Entry from Alexandria: CuTc2Cl after structural relaxation (PBE-GGA).

Properties
Crystal system: monoclinic
Relative energy among the computed polymorphs (eV per atom): 0.000
E_form (uncorrected) (meV/atom): 175

a = 2.950 Å, b = 3.004 Å, c = 7.328 Å
α = 89.86°, β = 90.00°, γ = 90.00°
Element x y z (fractional)
Tc 0.000 0.001 0.018
Tc 0.500 0.500 0.213
Cu 0.500 0.502 0.776
Cl 0.000 0.497 0.492

Record 3
Entry from Alexandria: Ce2SmBi2 after structural relaxation (PBE-GGA).

Properties
Crystal system: monoclinic
ΔE_f (meV per atom): -459

a = 4.334 Å, b = 4.334 Å, c = 8.655 Å
α = 75.35°, β = 75.35°, γ = 90.20°
Site moments in Bohr magnetons follow the coordinates.
Element x y z (fractional)
Ce 0.262 0.738 0.500  0.37
Ce 0.738 0.262 0.500  0.37
Sm 0.000 0.000 0.000  0.00
Bi 0.395 0.395 0.198  -0.01
Bi 0.605 0.605 0.802  -0.01